An optimized crystal structure of Nb2CuTeH, computed with PBE.

Summary:
space-group type: No. 123
VASP energy: -6.00 eV per atom

Lattice parameters (Å, degrees): 4.5762 4.5762 3.4867 90.00 90.00 90.00
Element x y z (fractional)
1 Nb 0.0000 0.5000 0.0000
2 Nb 0.5000 0.0000 0.0000
3 Cu 0.0000 0.0000 0.5000
4 Te 0.5000 0.5000 0.5000
5 H 0.0000 0.0000 0.0000